DFT (GGA-PBE) results for a relaxed CuTePd5 crystal.

a b c (Å): 6.546 6.546 7.451
angles (deg): 113.94 113.94 85.13
Fractional coordinates of all 14 atoms:
Cu  0.000  0.000  0.000
Cu  0.000  0.000  0.500
Te  0.477  0.523  0.750
Te  0.523  0.477  0.250
Pd  0.166  0.628  0.024
Pd  0.193  0.807  0.750
Pd  0.206  0.379  0.336
Pd  0.372  0.834  0.476
Pd  0.379  0.206  0.836
Pd  0.621  0.794  0.164
Pd  0.628  0.166  0.524
Pd  0.794  0.621  0.664
Pd  0.807  0.193  0.250
Pd  0.834  0.372  0.976

Properties
The energy relative to the elements, uncorrected comes out at 182 meV per atom. The total moment comes out at 0.00 Bohr magnetons per cell.

DFT (GGA-PBE) results for a relaxed MgSiSe crystal.

a b c (Å): 6.550 6.550 6.550
angles (deg): 90.00 90.00 90.00
Fractional coordinates of all 12 atoms:
Mg  0.000  0.000  0.000
Mg  0.000  0.500  0.500
Mg  0.500  0.000  0.500
Mg  0.500  0.500  0.000
Si  0.000  0.000  0.500
Si  0.000  0.500  0.000
Si  0.500  0.000  0.000
Si  0.500  0.500  0.500
Se  0.250  0.250  0.750
Se  0.250  0.750  0.250
Se  0.750  0.250  0.250
Se  0.750  0.750  0.750

Properties
The energy relative to the elements, uncorrected comes out at 265 meV per atom. For the energy above the lowest structure with this stoichiometry, the calculation gives 917.6 meV/atom. The total moment comes out at 0.00 Bohr magnetons per cell.

DFT (GGA-PBE) results for a relaxed LaTe2AuN crystal.

a b c (Å): 5.657 5.657 4.093
angles (deg): 90.00 90.00 90.00
Fractional coordinates of all 5 atoms:
La  0.000  0.000  0.000
Te  0.000  0.500  0.500
Te  0.500  0.000  0.500
Au  0.500  0.500  0.500
N  0.500  0.500  0.000

Properties
The energy relative to the elements, uncorrected comes out at 42 meV per atom. For the energy above the lowest structure with this stoichiometry, the calculation gives 0.0 meV/atom. The total moment comes out at 1.64 Bohr magnetons per cell.

DFT (GGA-PBE) results for a relaxed CrCoRh2 crystal.

a b c (Å): 5.340 5.340 10.142
angles (deg): 90.00 90.00 90.00
Fractional coordinates of all 16 atoms:
Cr  0.000  0.000  0.000
Cr  0.000  0.500  0.250
Cr  0.500  0.000  0.750
Cr  0.500  0.500  0.500
Co  0.000  0.000  0.500
Co  0.000  0.500  0.750
Co  0.500  0.000  0.250
Co  0.500  0.500  0.000
Rh  0.249  0.250  0.625
Rh  0.250  0.749  0.875
Rh  0.250  0.751  0.375
Rh  0.251  0.250  0.125
Rh  0.749  0.750  0.125
Rh  0.750  0.249  0.375
Rh  0.750  0.251  0.875
Rh  0.751  0.750  0.625

Properties
The total moment comes out at 0.00 Bohr magnetons per cell. The formation energy is 0.989 eV per atom.

DFT (GGA-PBE) results for a relaxed NiBi3H crystal.

a b c (Å): 4.792 4.792 4.792
angles (deg): 90.00 90.00 90.00
Fractional coordinates of all 5 atoms:
Ni  0.000  0.000  0.000
Bi  0.000  0.500  0.500
Bi  0.500  0.000  0.500
Bi  0.500  0.500  0.000
H  0.500  0.500  0.500

Properties
The total energy is -0.1305 hartree per atom. The total moment comes out at 0.00 Bohr magnetons per cell.

DFT (GGA-PBE) results for a relaxed V4Co2C crystal.

a b c (Å): 3.867 3.867 11.704
angles (deg): 90.00 90.00 90.00
Fractional coordinates of all 14 atoms:
V  0.000  0.000  0.180
V  0.000  0.000  0.820
V  0.000  0.500  0.000
V  0.000  0.500  0.500
V  0.500  0.000  0.000
V  0.500  0.000  0.500
V  0.500  0.500  0.320
V  0.500  0.500  0.680
Co  0.000  0.000  0.363
Co  0.000  0.000  0.637
Co  0.500  0.500  0.137
Co  0.500  0.500  0.863
C  0.000  0.000  0.000
C  0.500  0.500  0.500

Properties
For the energy above the lowest structure with this stoichiometry, the calculation gives 369.4 meV/atom. The total moment comes out at 0.00 Bohr magnetons per cell. The formation energy is 0.068 eV per atom.

DFT (GGA-PBE) results for a relaxed Rb2AcI5 crystal.

a b c (Å): 13.294 13.296 9.492
angles (deg): 90.00 134.33 90.00
Fractional coordinates of all 16 atoms:
Rb  0.000  0.250  0.000
Rb  0.000  0.750  0.000
Rb  0.500  0.250  0.000
Rb  0.500  0.750  0.000
Ac  0.076  0.000  0.651
Ac  0.576  0.500  0.651
I  0.137  0.235  0.773
I  0.137  0.765  0.773
I  0.347  0.500  0.191
I  0.373  0.000  0.774
I  0.401  0.500  0.772
I  0.637  0.265  0.773
I  0.637  0.735  0.773
I  0.847  0.000  0.191
I  0.873  0.500  0.774
I  0.901  0.000  0.772

Properties
The energy relative to the elements, uncorrected comes out at -1433 meV per atom. For the energy above the lowest structure with this stoichiometry, the calculation gives 126.3 meV/atom. The total moment comes out at 0.00 Bohr magnetons per cell.

DFT (GGA-PBE) results for a relaxed Pr3NdGa2 crystal.

a b c (Å): 5.229 9.798 6.775
angles (deg): 90.00 90.00 90.00
Fractional coordinates of all 12 atoms:
Pr  0.000  0.055  0.000
Pr  0.000  0.334  0.327
Pr  0.000  0.666  0.827
Pr  0.000  0.945  0.500
Pr  0.500  0.168  0.696
Pr  0.500  0.832  0.196
Nd  0.500  0.443  0.023
Nd  0.500  0.557  0.523
Ga  0.000  0.349  0.801
Ga  0.000  0.651  0.301
Ga  0.500  0.152  0.224
Ga  0.500  0.848  0.724

Properties
For the energy above the lowest structure with this stoichiometry, the calculation gives 0.0 meV/atom. The total moment comes out at 0.00 Bohr magnetons per cell. The formation energy is -0.384 eV per atom.

DFT (GGA-PBE) results for a relaxed Tb12TmTh2 crystal.

a b c (Å): 6.594 6.594 24.748
angles (deg): 92.23 92.23 115.16
Fractional coordinates of all 30 atoms:
Tb  0.047  0.555  0.201
Tb  0.065  0.601  0.330
Tb  0.130  0.653  0.555
Tb  0.168  0.168  0.562
Tb  0.214  0.214  0.866
Tb  0.232  0.731  0.928
Tb  0.269  0.768  0.072
Tb  0.284  0.284  0.135
Tb  0.346  0.346  0.406
Tb  0.347  0.870  0.445
Tb  0.399  0.935  0.670
Tb  0.445  0.953  0.799
Tb  0.555  0.047  0.201
Tb  0.601  0.065  0.330
Tb  0.653  0.130  0.555
Tb  0.654  0.654  0.594
Tb  0.716  0.716  0.865
Tb  0.731  0.232  0.928
Tb  0.768  0.269  0.072
Tb  0.786  0.786  0.134
Tb  0.832  0.832  0.438
Tb  0.870  0.347  0.445
Tb  0.935  0.399  0.670
Tb  0.953  0.445  0.799
Tm  0.250  0.250  0.000
Tm  0.750  0.750  0.000
Th  0.081  0.081  0.267
Th  0.446  0.446  0.733
Th  0.554  0.554  0.267
Th  0.919  0.919  0.733

Properties
The total moment comes out at 0.00 Bohr magnetons per cell. The formation energy is 0.123 eV per atom.

DFT (GGA-PBE) results for a relaxed Fe2Ir2Rh crystal.

a b c (Å): 4.802 4.802 6.299
angles (deg): 90.00 90.01 90.00
Fractional coordinates of all 10 atoms:
Fe  0.250  0.250  0.000
Fe  0.250  0.750  0.000
Fe  0.750  0.250  0.000
Fe  0.750  0.750  0.000
Ir  0.002  0.000  0.297
Ir  0.498  0.500  0.703
Ir  0.502  0.500  0.297
Ir  0.998  0.000  0.703
Rh  0.000  0.500  0.500
Rh  0.500  0.000  0.500

Properties
For the energy above the lowest structure with this stoichiometry, the calculation gives 377.2 meV/atom. The total moment comes out at 9.68 Bohr magnetons per cell. The formation energy is 0.420 eV per atom.

DFT (GGA-PBE) results for a relaxed PH6F2 crystal.

a b c (Å): 5.547 5.547 3.414
angles (deg): 100.95 100.95 63.17
Fractional coordinates of all 9 atoms:
P  0.000  0.000  0.000
H  0.171  0.815  0.310
H  0.185  0.829  0.690
H  0.233  0.233  0.210
H  0.767  0.767  0.790
H  0.815  0.171  0.310
H  0.829  0.185  0.690
F  0.338  0.338  0.325
F  0.662  0.662  0.675

Properties
The total energy is -0.1336 hartree per atom. The total moment comes out at 0.00 Bohr magnetons per cell.

DFT (GGA-PBE) results for a relaxed Eu2ScTl crystal.

a b c (Å): 4.856 4.856 5.030
angles (deg): 90.00 90.00 90.00
Fractional coordinates of all 4 atoms:
Eu  0.000  0.500  0.000
Eu  0.500  0.000  0.000
Sc  0.000  0.000  0.500
Tl  0.500  0.500  0.500

Properties
For the energy above the lowest structure with this stoichiometry, the calculation gives 0.0 meV/atom. The total moment comes out at 14.33 Bohr magnetons per cell. The formation energy is -0.096 eV per atom.